Computed, not measured: an optimized crystal structure of VAgPO2 at the GGA+U level of DFT.

Its total energy is -5.799 eV per atom.

The structure belongs to space group P4/mmm (No. 123); the cell edges are 3.676, 3.676 and 5.297 Å and the angles 90.00°, 90.00° and 90.00°. The asymmetric unit holds V at (0.000, 0.000, 0.000), Ag at (0.500, 0.500, 0.500), P at (0.000, 0.000, 0.500) and O at (0.000, 0.500, 0.000).